No. 1
Computed, not measured: a relaxed structure of NaSi2Pb2Au7 at the GGA-PBE level of DFT.

Values from the calculation:
**Calculated volume**: 255.8 Å³/f.u.
**E_tot**: -87.18 eV per cell
**Density of states at the Fermi level**: 7.3 states/eV/cell

abc: 6.344 6.240 13.082
angles: 90.00 98.90 90.00
Space group C2/m (No. 12)
Asymmetric unit:
Na 0.000 0.000 0.000
Si 0.075 0.500 0.239
Pb 0.097 0.000 0.362
Au 0.000 0.500 0.000
Au 0.132 0.500 0.425
Au 0.202 0.250 0.846



No. 2
Computed, not measured: a relaxed structure of KScAs2Ir at the GGA-PBE level of DFT.

Values from the calculation:
**Formation energy**: 1965 meV per atom
**Calculated volume**: 121.1 Å³/f.u.
**E_tot**: -15.76 eV per cell
**Density of states at the Fermi level**: 6.9 states/eV/cell

abc: 5.124 5.124 4.611
angles: 90.00 90.00 90.00
Space group P4/mmm (No. 123)
Asymmetric unit:
K 0.000 0.000 0.000
Sc 0.000 0.000 0.500
As 0.000 0.500 0.000
Ir 0.500 0.500 0.500



No. 3
Computed, not measured: a relaxed structure of ZnTcSb at the GGA-PBE level of DFT.

Values from the calculation:
**Calculated volume**: 55.7 Å³/f.u.
**E_tot**: -14.47 eV per cell
**Density of states at the Fermi level**: 2.7 states/eV/cell
**Energy relative to the lowest polymorph listed for this composition**: 41.7 kJ/mol of atoms

abc: 4.4613 4.4613 3.2316
angles: 90.00 90.00 120.00
Space group P3m1 (No. 156)
Asymmetric unit:
Zn 0.0000 0.0000 0.0000
Tc 0.6667 0.3333 0.5017
Sb 0.3333 0.6667 0.4993



No. 4
Computed, not measured: a relaxed structure of SrCdRh at the GGA-PBE level of DFT.

Values from the calculation:
**Formation energy**: 525 meV per atom
**Calculated volume**: 87.0 Å³/f.u.
**E_tot**: -33.50 eV per cell
**Density of states at the Fermi level**: 7.5 states/eV/cell

abc: 7.035 7.035 7.035
angles: 90.00 90.00 90.00
Space group F-43m (No. 216)
Asymmetric unit:
Sr 0.000 0.000 0.000
Cd 0.250 0.250 0.750
Rh 0.250 0.250 0.250



No. 5
Computed, not measured: a relaxed structure of Ta3C at the GGA-PBE level of DFT.

Values from the calculation:
**Formation energy**: 150 meV per atom
**Calculated volume**: 62.7 Å³/f.u.
**E_tot**: -88.36 eV per cell
**Density of states at the Fermi level**: 5.2 states/eV/cell
**Energy relative to the lowest polymorph listed for this composition**: 49.5 kJ/mol of atoms

abc: 2.948 4.960 8.578
angles: 90.00 90.00 90.00
Space group Immm (No. 71)
Asymmetric unit:
Ta 0.000 0.000 0.000
Ta 0.000 0.500 0.179
C 0.000 0.000 0.500



No. 6
Computed, not measured: a relaxed structure of Ir2W at the GGA-PBE level of DFT.

Values from the calculation:
**Formation energy**: 505 meV per atom
**Calculated volume**: 53.4 Å³/f.u.
**E_tot**: -29.16 eV per cell
**Density of states at the Fermi level**: 1.1 states/eV/cell

abc: 4.032 4.032 3.288
angles: 90.00 90.00 90.00
Space group P4/mmm (No. 123)
Asymmetric unit:
Ir 0.000 0.500 0.000
W 0.000 0.000 0.500



No. 7
Computed, not measured: a relaxed structure of Sc5ZnFe at the GGA-PBE level of DFT.

Values from the calculation:
**Formation energy**: -20 meV per atom
**Calculated volume**: 145.2 Å³/f.u.
**E_tot**: -166.15 eV per cell
**Density of states at the Fermi level**: 31.7 states/eV/cell

abc: 8.365 6.617 10.922
angles: 90.00 106.16 90.00
Space group C2/c (No. 15)
Asymmetric unit:
Sc 0.000 0.006 0.250
Sc 0.127 0.330 0.068
Sc 0.247 0.168 0.625
Zn 0.000 0.408 0.750
Fe 0.000 0.000 0.000



No. 8
Computed, not measured: a relaxed structure of AlCrCl2 at the GGA-PBE level of DFT.

Values from the calculation:
**Calculated volume**: 96.6 Å³/f.u.
**E_tot**: -36.23 eV per cell
**Density of states at the Fermi level**: 4.3 states/eV/cell
**Energy relative to the lowest polymorph listed for this composition**: 28.1 kJ/mol of atoms

abc: 3.364 6.210 9.254
angles: 90.00 90.00 90.00
Space group Cmmm (No. 65)
Asymmetric unit:
Al 0.000 0.000 0.000
Cr 0.000 0.000 0.500
Cl 0.000 0.500 0.317



No. 9
Computed, not measured: a relaxed structure of Cs2PuHgF8 at the GGA-PBE level of DFT.

Values from the calculation:
**Calculated volume**: 229.4 Å³/f.u.
**E_tot**: -126.77 eV per cell
**Density of states at the Fermi level**: 13.9 states/eV/cell

abc: 6.414 6.414 11.155
angles: 90.00 90.00 90.00
Space group I-4m2 (No. 119)
Asymmetric unit:
Cs 0.000 0.000 0.000
Cs 0.000 0.500 0.250
Pu 0.000 0.500 0.750
Hg 0.000 0.000 0.500
F 0.188 0.276 0.632



No. 10
Computed, not measured: a relaxed structure of LiMg2ZnAg at the GGA-PBE level of DFT.

Values from the calculation:
**Formation energy**: -129 meV per atom
**Calculated volume**: 90.6 Å³/f.u.
**E_tot**: -19.74 eV per cell
**Density of states at the Fermi level**: 2.3 states/eV/cell

abc: 6.235 4.336 6.724
angles: 90.00 94.60 90.00
Space group P2_1/m (No. 11)
Asymmetric unit:
Li 0.136 0.250 0.060
Mg 0.034 0.750 0.353
Mg 0.460 0.750 0.163
Zn 0.254 0.750 0.760
Ag 0.350 0.250 0.432



No. 11
Computed, not measured: a relaxed structure of CuAgPbBr5 at the GGA-PBE level of DFT.

Values from the calculation:
**Calculated volume**: 285.5 Å³/f.u.
**E_tot**: -91.12 eV per cell
**Density of states at the Fermi level**: 23.4 states/eV/cell

abc: 10.941 10.731 10.980
angles: 90.00 117.66 90.00
Space group C2/c (No. 15)
Asymmetric unit:
Cu 0.000 0.073 0.250
Ag 0.000 0.390 0.250
Pb 0.250 0.250 0.000
Br 0.000 0.367 0.750
Br 0.015 0.218 0.079
Br 0.228 0.000 0.372



No. 12
Computed, not measured: a relaxed structure of GaTeMo2 at the GGA-PBE level of DFT.

Values from the calculation:
**Calculated volume**: 79.1 Å³/f.u.
**E_tot**: -103.01 eV per cell
**Density of states at the Fermi level**: 7.6 states/eV/cell
**Energy relative to the lowest polymorph listed for this composition**: 21.5 kJ/mol of atoms

abc: 4.118 4.118 18.664
angles: 90.00 90.00 90.00
Space group I-42d (No. 122)
Asymmetric unit:
Ga 0.000 0.000 0.000
Te 0.000 0.000 0.500
Mo 0.183 0.250 0.125